Entry 1:
Compound: BaHg2Os
Source: Alexandria
Functional: GGA-PBE
Structure: optimized geometry

Properties
Its total energy is -2.691 eV/atom. Its density of states at the Fermi level is 1.12 states/eV/atom. As for the excess energy over the best structure of this formula in the dataset: 0.367 eV per atom. For the formation energy from the elements, the calculation gives 0.748 eV per atom. The calculation puts the total magnetization at 0.47 μB per atom.

abc: 4.6803 4.6803 4.8046
angles: 90.00 90.00 90.00
Space group P4/mmm (No. 123)
Inequivalent atoms, fractional coordinates:
Ba: 0.0000 0.0000 0.0000 [1 per cell]
Hg: 0.0000 0.5000 0.5000 [2 per cell]
Os: 0.5000 0.5000 0.0000 [1 per cell]

---

Entry 2:
Compound: Zr2TiHgH
Source: Alexandria
Functional: GGA-PBE
Structure: optimized geometry

Properties
Its total energy is -5.975 eV/atom. Its density of states at the Fermi level is 0.40 states/eV/atom. The calculation puts the total magnetization at 0.00 μB per atom.

abc: 4.4116 4.4116 4.2853
angles: 90.00 90.00 90.00
Space group P4/mmm (No. 123)
Inequivalent atoms, fractional coordinates:
Zr: 0.0000 0.5000 0.0000 [2 per cell]
Ti: 0.0000 0.0000 0.5000 [1 per cell]
Hg: 0.5000 0.5000 0.5000 [1 per cell]
H: 0.0000 0.0000 0.0000 [1 per cell]

---

Entry 3:
Compound: Pr2Mg16Al
Source: Alexandria
Functional: GGA-PBE
Structure: optimized geometry

Properties
Its total energy is -2.108 eV/atom. Its density of states at the Fermi level is 0.34 states/eV/atom. For the formation energy from the elements, the calculation gives -0.065 eV per atom. The calculation puts the total magnetization at 0.00 μB per atom.

abc: 10.2426 10.2426 15.1734
angles: 90.00 90.00 120.00
Space group R3m (No. 160, hexagonal axes)
Inequivalent atoms, fractional coordinates:
Pr: 0.0000 0.0000 0.0000 [3 per cell]
Pr: 0.0000 0.0000 0.3510 [3 per cell]
Mg: 0.0000 0.0000 0.7640 [3 per cell]
Mg: 0.0002 0.3004 0.6738 [18 per cell]
Mg: 0.0034 0.5017 0.1740 [9 per cell]
Mg: 0.0071 0.5036 0.8259 [9 per cell]
Mg: 0.1702 0.3404 0.8554 [9 per cell]
Al: 0.0000 0.0000 0.5715 [3 per cell]

---

Entry 4:
Compound: As2PtCl
Source: Alexandria
Functional: GGA-PBE
Structure: optimized geometry

Properties
Its total energy is -4.291 eV/atom. Its density of states at the Fermi level is 0.30 states/eV/atom. As for the excess energy over the best structure of this formula in the dataset: 0.360 eV per atom. The calculation puts the total magnetization at 0.00 μB per atom.

abc: 4.2377 4.5653 4.8944
angles: 90.00 111.57 90.00
Space group Pm (No. 6)
Inequivalent atoms, fractional coordinates:
As: 0.0000 0.0000 0.0000 [1 per cell]
As: 0.2551 0.5000 0.8506 [1 per cell]
Pt: 0.3969 0.0000 0.7046 [1 per cell]
Cl: 0.6573 0.5000 0.3258 [1 per cell]

---

Entry 5:
Compound: Yb3Cd
Source: Alexandria
Functional: GGA-PBE
Structure: optimized geometry

Properties
Its total energy is -1.575 eV/atom. Its density of states at the Fermi level is 9.26 states/eV/atom. As for the excess energy over the best structure of this formula in the dataset: 0.018 eV per atom. For the formation energy from the elements, the calculation gives -0.202 eV per atom. The calculation puts the total magnetization at 0.11 μB per atom.

abc: 7.8304 7.8304 7.8304
angles: 90.00 90.00 90.00
Space group Fm-3m (No. 225)
Inequivalent atoms, fractional coordinates:
Yb: 0.0000 0.0000 0.0000 [4 per cell]
Yb: 0.2500 0.2500 0.2500 [8 per cell]
Cd: 0.0000 0.0000 0.5000 [4 per cell]

---

Entry 6:
Compound: Dy2RhO
Source: Alexandria
Functional: GGA-PBE
Structure: optimized geometry

Properties
Its total energy is -7.044 eV/atom. Its density of states at the Fermi level is 0.61 states/eV/atom. As for the excess energy over the best structure of this formula in the dataset: 0.000 eV per atom. The calculation puts the total magnetization at 0.00 μB per atom.

abc: 3.5036 3.5036 20.5717
angles: 90.00 90.00 120.00
Space group R-3m (No. 166, hexagonal axes)
Inequivalent atoms, fractional coordinates:
Dy: 0.0000 0.0000 0.2387 [6 per cell]
Rh: 0.0000 0.0000 0.0000 [3 per cell]
O: 0.0000 0.0000 0.5000 [3 per cell]

---

Entry 7:
Compound: Rb3BaO
Source: Alexandria
Functional: GGA-PBE
Structure: optimized geometry

Properties
Its total energy is -1.162 eV/atom. Its density of states at the Fermi level is 8.15 states/eV/atom. As for the excess energy over the best structure of this formula in the dataset: 1.018 eV per atom. The calculation puts the total magnetization at 0.19 μB per atom.

abc: 8.5365 8.5365 8.5365
angles: 90.00 90.00 90.00
Space group Pm-3m (No. 221)
Inequivalent atoms, fractional coordinates:
Rb: 0.0000 0.0000 0.5000 [3 per cell]
Ba: 0.0000 0.0000 0.0000 [1 per cell]
O: 0.5000 0.5000 0.5000 [1 per cell]

---

Entry 8:
Compound: Sb3AsI
Source: Alexandria
Functional: GGA-PBE
Structure: optimized geometry

Properties
Its total energy is -3.097 eV/atom. Its density of states at the Fermi level is 1.74 states/eV/atom. As for the excess energy over the best structure of this formula in the dataset: 0.000 eV per atom. The calculation puts the total magnetization at 0.00 μB per atom.

abc: 5.4838 5.4838 5.4838
angles: 90.00 90.00 90.00
Space group Pm-3m (No. 221)
Inequivalent atoms, fractional coordinates:
Sb: 0.0000 0.0000 0.5000 [3 per cell]
As: 0.0000 0.0000 0.0000 [1 per cell]
I: 0.5000 0.5000 0.5000 [1 per cell]

---

Entry 9:
Compound: KVBr2
Source: Alexandria
Functional: GGA-PBE
Structure: optimized geometry

Properties
Its total energy is -3.949 eV/atom. Its density of states at the Fermi level is 0.59 states/eV/atom. As for the excess energy over the best structure of this formula in the dataset: 0.040 eV per atom. The calculation puts the total magnetization at 0.81 μB per atom.

abc: 4.0558 4.0558 28.9134
angles: 90.00 90.00 120.00
Space group R-3m (No. 166, hexagonal axes)
Inequivalent atoms, fractional coordinates:
K: 0.0000 0.0000 0.0000 [3 per cell]
V: 0.0000 0.0000 0.5000 [3 per cell]
Br: 0.0000 0.0000 0.1187 [6 per cell]

---

Entry 10:
Compound: LiPmAlPt
Source: Alexandria
Functional: GGA-PBE
Structure: optimized geometry

Properties
Its total energy is -4.643 eV/atom. Its density of states at the Fermi level is 0.48 states/eV/atom. As for the excess energy over the best structure of this formula in the dataset: 0.163 eV per atom. For the formation energy from the elements, the calculation gives -0.531 eV per atom. The calculation puts the total magnetization at 0.00 μB per atom.

abc: 4.0702 3.6710 10.9139
angles: 90.00 90.00 90.00
Space group Amm2 (No. 38)
Inequivalent atoms, fractional coordinates:
Li: 0.0000 0.0000 0.0000 [2 per cell]
Pm: 0.0000 0.0000 0.7394 [2 per cell]
Al: 0.5000 0.0000 0.4526 [2 per cell]
Pt: 0.5000 0.0000 0.1272 [2 per cell]

---

Entry 11:
Compound: CaCeAs2Pt2
Source: Alexandria
Functional: GGA-PBE
Structure: optimized geometry

Properties
Its total energy is -6.025 eV/atom. Its density of states at the Fermi level is 0.87 states/eV/atom. For the formation energy from the elements, the calculation gives -1.139 eV per atom. The calculation puts the total magnetization at 0.07 μB per atom.

abc: 4.3277 4.3277 7.9542
angles: 90.00 90.00 120.00
Space group P-3m1 (No. 164)
Inequivalent atoms, fractional coordinates:
Ca: 0.0000 0.0000 0.0000 [1 per cell]
Ce: 0.0000 0.0000 0.5000 [1 per cell]
As: 0.3333 0.6667 0.7389 [2 per cell]
Pt: 0.3333 0.6667 0.2511 [2 per cell]

---

Entry 12:
Compound: Sb2SeIO
Source: Alexandria
Functional: GGA-PBE
Structure: optimized geometry

Properties
Its total energy is -3.313 eV/atom. Its density of states at the Fermi level is 0.98 states/eV/atom. As for the excess energy over the best structure of this formula in the dataset: 0.000 eV per atom. The calculation puts the total magnetization at 0.00 μB per atom.

abc: 4.8342 4.8342 5.0227
angles: 90.00 90.00 90.00
Space group P4/mmm (No. 123)
Inequivalent atoms, fractional coordinates:
Sb: 0.0000 0.5000 0.0000 [2 per cell]
Se: 0.0000 0.0000 0.5000 [1 per cell]
I: 0.5000 0.5000 0.5000 [1 per cell]
O: 0.5000 0.5000 0.0000 [1 per cell]

---

Q: Which formula does entry 11 have?
A: CaCeAs2Pt2